# PBE with a Hubbard U PrTa2VO8, relaxed
# crystal system	monoclinic
# V	13.26	Å³ per atom
# uncorrected energy	-9.039	eV/atom
data_PrTa2VO8
_space_group_name_H-M_alt 'C 1 2/m 1'
_space_group_IT_number 12
_cell_length_a 7.224
_cell_length_b 6.734
_cell_length_c 6.543
_cell_angle_alpha 90.00
_cell_angle_beta 91.21
_cell_angle_gamma 90.00
loop_
_space_group_symop_operation_xyz
'x,y,z'
'-x,-y,-z'
'-x,y,-z'
'x,-y,z'
'x+1/2,y+1/2,z'
'-x+1/2,-y+1/2,-z'
'-x+1/2,y+1/2,-z'
'x+1/2,-y+1/2,z'
loop_
_atom_site_label
_atom_site_type_symbol
_atom_site_fract_x
_atom_site_fract_y
_atom_site_fract_z
_atom_site_occupancy
Pr1 Pr 0.000 0.000 0.000 1
Ta1 Ta 0.025 0.500 0.263 1
V1 V 0.000 0.000 0.500 1
O1 O 0.008 0.211 0.717 1
O2 O 0.171 0.500 0.016 1
O3 O 0.188 0.500 0.498 1